Sm4Y4Tm3 | PBE | optimized geometry

Results
VASP energy in eV for the cell shown: -57.532
Energy above the most stable polymorph in this dataset in meV/atom: 0
Energy relative to the elements in eV/f.u.: 0.615
M_tot in μB per cell: 0.0

```
data_Sm4Y4Tm3
_space_group_name_H-M_alt 'P -1'
_space_group_IT_number 2
_space_group_name_Hall '-P 1'
_cell_length_a 3.531
_cell_length_b 5.614
_cell_length_c 18.135
_cell_angle_alpha 98.90
_cell_angle_beta 95.58
_cell_angle_gamma 90.00
loop_
_atom_site_label
_atom_site_type_symbol
_atom_site_fract_x
_atom_site_fract_y
_atom_site_fract_z
Sm1 Sm 0.046 0.047 0.092
Sm2 Sm 0.179 0.680 0.359
Y1 Y 0.090 0.591 0.180
Y2 Y 0.233 0.233 0.465
Tm1 Tm 0.364 0.863 0.727
Tm2 Tm 0.500 0.500 0.000
```


Sm2YTm7 | PBE | optimized geometry

Results
VASP energy in eV for the cell shown: -91.230
Energy above the most stable polymorph in this dataset in meV/atom: 133
Energy relative to the elements in eV/f.u.: 1.588
M_tot in μB per cell: 0.0

```
data_Sm2YTm7
_space_group_name_H-M_alt 'C m m m'
_space_group_IT_number 65
_space_group_name_Hall '-C 2 2'
_cell_length_a 6.407
_cell_length_b 28.499
_cell_length_c 3.498
_cell_angle_alpha 90.00
_cell_angle_beta 90.00
_cell_angle_gamma 90.00
loop_
_atom_site_label
_atom_site_type_symbol
_atom_site_fract_x
_atom_site_fract_y
_atom_site_fract_z
Sm1 Sm 0.000 0.209 0.000
Y1 Y 0.000 0.500 0.500
Tm1 Tm 0.000 0.000 0.000
Tm2 Tm 0.000 0.316 0.500
Tm3 Tm 0.247 0.402 0.000
```


Sm5YTm2 | PBE | optimized geometry

Results
VASP energy in eV for the cell shown: -77.721
Energy above the most stable polymorph in this dataset in meV/atom: 0
Energy relative to the elements in eV/f.u.: 0.142
M_tot in μB per cell: 0.0

```
data_Sm5YTm2
_space_group_name_H-M_alt 'P b a m'
_space_group_IT_number 55
_space_group_name_Hall '-P 2 2ab'
_cell_length_a 7.175
_cell_length_b 14.351
_cell_length_c 5.067
_cell_angle_alpha 90.00
_cell_angle_beta 90.00
_cell_angle_gamma 90.00
loop_
_atom_site_label
_atom_site_type_symbol
_atom_site_fract_x
_atom_site_fract_y
_atom_site_fract_z
Sm1 Sm 0.000 0.000 0.000
Sm2 Sm 0.001 0.250 0.000
Sm3 Sm 0.249 0.625 0.500
Y1 Y 0.000 0.500 0.000
Tm1 Tm 0.249 0.875 0.500
```


SmY12Tm5 | PBE | optimized geometry

Results
VASP energy in eV for the cell shown: -104.158
Energy relative to the elements in eV/f.u.: 0.487
M_tot in μB per cell: 0.0

```
data_SmY12Tm5
_space_group_name_H-M_alt 'P 1 2/m 1'
_space_group_IT_number 10
_space_group_name_Hall '-P 2y'
_cell_length_a 10.654
_cell_length_b 5.019
_cell_length_c 10.664
_cell_angle_alpha 90.00
_cell_angle_beta 90.12
_cell_angle_gamma 90.00
loop_
_atom_site_label
_atom_site_type_symbol
_atom_site_fract_x
_atom_site_fract_y
_atom_site_fract_z
Sm1 Sm 0.000 0.000 0.000
Y1 Y 0.002 0.000 0.667
Y2 Y 0.166 0.500 0.166
Y3 Y 0.169 0.500 0.501
Y4 Y 0.333 0.000 0.999
Y5 Y 0.335 0.000 0.335
Y6 Y 0.499 0.500 0.831
Tm1 Tm 0.168 0.500 0.832
Tm2 Tm 0.333 0.000 0.667
Tm3 Tm 0.500 0.500 0.500
```


Among the records above, which one has the highest energy relative to the elements? Sm2YTm7


The lowest VASP energy belongs to which entry? SmY12Tm5